Entry 1:
VASP calculation (PBE-GGA) on an optimized crystal structure of TiAl2HRh.

Lattice parameters (Å, degrees): 4.0509 4.0509 3.7359 90.00 90.00 90.00
With the nearest neighbours (Å) after each atom.
Atoms (fractional coordinates):
Ti  0.0000  0.0000  0.0000  2 H 1.87
Al  0.0000  0.5000  0.5000  2 H 2.03
Al  0.5000  0.0000  0.5000  2 H 2.03
H  0.0000  0.0000  0.5000  2 Ti 1.87, 4 Al 2.03
Rh  0.5000  0.5000  0.0000  8 Al 2.76, 4 Ti 2.86

Results
SG: P4/mmm, No. 123


Entry 2:
VASP calculation (PBE-GGA) on an optimized crystal structure of Al2VHRh.

Lattice parameters (Å, degrees): 4.9535 4.9535 4.3131 90.00 90.00 90.00
With the nearest neighbours (Å) after each atom.
Atoms (fractional coordinates):
Al  0.0000  0.5000  0.0000  2 V 2.48
Al  0.5000  0.0000  0.0000  2 V 2.48
V  0.0000  0.0000  0.0000  2 Rh 2.16
H  0.5000  0.5000  0.5000  8 Al 3.28, 4 Rh 3.50
Rh  0.0000  0.0000  0.5000  2 V 2.16

Results
SG: P4/mmm, No. 123


Number 1: raw total energy -0.418 Ry per atom. Number 2: raw total energy -0.313 Ry per atom.